AgHg | GGA-PBE | relaxed

Results
* energy relative to the lowest polymorph listed for this composition: 0.055 eV per atom
* total energy: -1.45 eV per atom
* calculated volume: 96.3 Å³/cell
* crystal system: hexagonal

Lattice parameters (Å, degrees): 4.4382 4.4382 5.6468 90.00 90.00 120.00
Last column: nearest neighbours and their distance in Å.
Positions (direct):
Ag1 0.0000 0.0000 0.0000  2 Ag 2.82, 6 Hg 2.93
Ag2 0.0000 0.0000 0.5000  2 Ag 2.82, 6 Hg 2.93
Hg1 0.3333 0.6667 0.2500  6 Ag 2.93
Hg2 0.6667 0.3333 0.7500  6 Ag 2.93

---

AgHg4 | GGA-PBE | relaxed

Results
* energy relative to the lowest polymorph listed for this composition: 0.026 eV per atom
* total energy: -0.72 eV per atom
* calculated volume: 171.5 Å³/cell
* crystal system: cubic

Lattice parameters (Å, degrees): 5.5559 5.5559 5.5559 90.00 90.00 90.00
Last column: nearest neighbours and their distance in Å.
Positions (direct):
Ag1 0.0000 0.0000 0.0000  6 Hg 2.78
Hg1 0.0000 0.0000 0.5000  2 Ag 2.78
Hg2 0.0000 0.5000 0.0000  2 Ag 2.78
Hg3 0.5000 0.0000 0.0000  2 Ag 2.78
Hg4 0.5000 0.5000 0.5000  12 Hg 3.93

---

- Which of these has the highest calculated volume?
  AgHg4

---

Please write out number 1 again, unchanged.
AgHg | GGA-PBE | relaxed

Results
* energy relative to the lowest polymorph listed for this composition: 0.055 eV per atom
* total energy: -1.45 eV per atom
* calculated volume: 96.3 Å³/cell
* crystal system: hexagonal

Lattice parameters (Å, degrees): 4.4382 4.4382 5.6468 90.00 90.00 120.00
Last column: nearest neighbours and their distance in Å.
Positions (direct):
Ag1 0.0000 0.0000 0.0000  2 Ag 2.82, 6 Hg 2.93
Ag2 0.0000 0.0000 0.5000  2 Ag 2.82, 6 Hg 2.93
Hg1 0.3333 0.6667 0.2500  6 Ag 2.93
Hg2 0.6667 0.3333 0.7500  6 Ag 2.93

---

- The lowest total energy belongs to which entry?
  AgHg